Entry A
Pr6Nd3Cd: relaxed, PBE.

Lattice parameters (Å, degrees): 6.4501 11.4555 11.4555 124.60 90.00 90.00
Positions (direct):
Pr 0.8768 0.4270 0.0355
Pr 0.3768 0.0355 0.4270
Pr 0.1604 0.7044 0.2956
Pr 0.8867 0.0541 0.9459
Pr 0.0587 0.7087 0.6391
Pr 0.5587 0.6391 0.7087
Pr 0.0587 0.3609 0.2913
Pr 0.6604 0.2956 0.7044
Pr 0.5587 0.2913 0.3609
Pr 0.8768 0.9645 0.5730
Pr 0.3867 0.9459 0.0541
Pr 0.3768 0.5730 0.9645
Nd 0.5914 0.6075 0.3925
Nd 0.4040 0.2948 0.0427
Nd 0.4040 0.9573 0.7052
Nd 0.9040 0.7052 0.9573
Nd 0.0914 0.3925 0.6075
Nd 0.9040 0.0427 0.2948
Cd 0.1677 0.2381 0.7619
Cd 0.6677 0.7619 0.2381

**SG**: No. 36

***

Entry B
Pr6Nd3Cd: relaxed, PBE.

Lattice parameters (Å, degrees): 5.2544 11.2651 11.6528 92.62 90.00 90.00
Positions (direct):
Nd 0.2500 0.5516 0.4039
Nd 0.2500 0.3444 0.7900
Nd 0.7500 0.2456 0.9869
Nd 0.7500 0.6556 0.2100
Nd 0.7500 0.4484 0.5961
Nd 0.2500 0.7544 0.0131
Pr 0.7500 0.5495 0.8997
Pr 0.2500 0.2295 0.4908
Pr 0.7500 0.8452 0.8175
Pr 0.2500 0.6556 0.7033
Pr 0.7500 0.7705 0.5092
Pr 0.7500 0.1325 0.6805
Pr 0.2500 0.8675 0.3195
Pr 0.2500 0.0437 0.8880
Pr 0.2500 0.1548 0.1825
Pr 0.7500 0.3444 0.2967
Pr 0.2500 0.4505 0.1003
Pr 0.7500 0.9563 0.1120
Cd 0.7500 0.0561 0.3904
Cd 0.2500 0.9439 0.6096

**SG**: No. 11

***

Energies, relative to the best one, in meV per atom: entry A 54; entry B 0.